# 1
A relaxed CeDy2Te4 crystal. Source: Alexandria, functional GGA-PBE.

POSCAR file:
```
CeDy2Te4
1.0
7.8684 0.0000 -2.9201
-3.8847 6.9182 -2.7360
-0.0990 0.0000 8.3922
Ce Dy Te
2 4 8
Direct
0.7500 0.5000 0.2500 Ce
0.0000 0.0000 0.0000 Ce
0.3750 0.7952 0.6702 Dy
0.4202 0.2952 0.6250 Dy
0.8750 0.2048 0.5798 Dy
0.3298 0.7048 0.1250 Dy
0.7257 0.2217 0.8723 Te
0.0243 0.6465 0.7459 Te
0.6506 0.7783 0.5041 Te
0.0994 0.3535 0.3777 Te
0.4959 0.1465 0.2743 Te
0.6223 0.7217 0.9757 Te
0.2541 0.2783 0.9006 Te
0.1277 0.8535 0.3494 Te
```

Its total energy is -5.28 eV per atom. For the uncorrected formation energy, the calculation gives -1.3198 eV per atom. As for the distance to the lowest polymorph of the same formula: 0.052 eV per atom. For the density of states at the Fermi level, the calculation gives 1.31 states/eV per atom.



# 2
A relaxed CdReS2N crystal. Source: Alexandria, functional GGA-PBE.

POSCAR file:
```
CdReS2N
1.0
4.8529 0.0000 0.0000
0.0000 4.8529 0.0000
0.0000 0.0000 3.7560
Re S N Cd
1 2 1 1
Direct
0.0000 0.0000 0.0000 Re
0.0000 0.5000 0.0000 S
0.5000 0.0000 0.0000 S
0.0000 0.0000 0.5000 N
0.5000 0.5000 0.5000 Cd
```

Its total energy is -5.83 eV per atom. For the uncorrected formation energy, the calculation gives 0.1559 eV per atom. As for the distance to the lowest polymorph of the same formula: 0.000 eV per atom. For the density of states at the Fermi level, the calculation gives 0.43 states/eV per atom.



# 3
A relaxed BeAlPt2 crystal. Source: Alexandria, functional GGA-PBE.

POSCAR file:
```
BeAlPt2
1.0
-0.8881 -2.9410 2.6062
2.0007 0.9290 1.7302
-2.2513 3.2977 2.9542
Be Al Pt
1 1 2
Direct
0.5000 0.5397 0.8051 Be
0.0000 0.6984 0.4688 Al
0.0000 0.9860 0.9190 Pt
0.5000 0.2759 0.3071 Pt
```

Its total energy is -5.63 eV per atom. The formation energy comes out at -3.0 eV/f.u. For the density of states at the Fermi level, the calculation gives 0.32 states/eV per atom.



# 4
A relaxed Zr2NiRh crystal. Source: Alexandria, functional GGA-PBE.

POSCAR file:
```
Zr2NiRh
1.0
-4.1113 -0.4610 0.8671
-1.1078 0.1160 -5.1912
1.0659 -6.3309 1.6881
Zr Ni Rh
4 2 2
Direct
0.7500 0.2229 0.4313 Zr
0.2500 0.7771 0.5687 Zr
0.2500 0.7889 0.0684 Zr
0.7500 0.2111 0.9316 Zr
0.2500 0.3236 0.2016 Ni
0.7500 0.6764 0.7984 Ni
0.7500 0.6768 0.2886 Rh
0.2500 0.3232 0.7114 Rh
```

Its total energy is -8.18 eV per atom. The formation energy comes out at -2.5 eV/f.u. For the density of states at the Fermi level, the calculation gives 0.72 states/eV per atom.



# 5
A relaxed Ho4ThGa4 crystal. Source: Alexandria, functional GGA-PBE.

POSCAR file:
```
Ho4ThGa4
1.0
-0.2311 3.8516 -4.3540
6.0493 -5.1934 -4.9153
-7.1409 -4.7226 -3.7986
Ho Th Ga
8 2 8
Direct
0.3795 0.3779 0.8671 Ho
0.8795 0.6329 0.8779 Ho
0.3795 0.6221 0.1329 Ho
0.1205 0.1221 0.6329 Ho
0.6205 0.8671 0.6221 Ho
0.1205 0.8779 0.3671 Ho
0.8795 0.3671 0.1221 Ho
0.6205 0.1329 0.3779 Ho
0.0000 0.0000 0.0000 Th
0.5000 0.5000 0.5000 Th
0.6098 0.8327 0.3076 Ga
0.6098 0.1673 0.6924 Ga
0.1098 0.8076 0.6673 Ga
0.8902 0.3327 0.8076 Ga
0.8902 0.6673 0.1924 Ga
0.3902 0.3076 0.1673 Ga
0.3902 0.6924 0.8327 Ga
0.1098 0.1924 0.3327 Ga
```

Its total energy is -4.35 eV per atom. The formation energy comes out at -1.3 eV/f.u. For the density of states at the Fermi level, the calculation gives 1.15 states/eV per atom.



# 6
A relaxed TbCePm5 crystal. Source: Alexandria, functional GGA-PBE.

POSCAR file:
```
TbCePm5
1.0
0.0396 -1.9848 5.4740
0.9749 -6.7827 -2.4507
7.2103 -0.9148 -0.3681
Tb Ce Pm
1 1 5
Direct
0.5000 0.5000 0.5000 Tb
0.0000 0.0000 0.0000 Ce
0.9980 0.2473 0.2473 Pm
0.0000 0.3091 0.6909 Pm
0.5000 0.0000 0.0000 Pm
0.0000 0.6909 0.3091 Pm
0.0020 0.7527 0.7527 Pm
```

Its total energy is -4.08 eV per atom. The formation energy comes out at 5.7 eV/f.u. For the density of states at the Fermi level, the calculation gives 1.79 states/eV per atom.



# 7
A relaxed NaRe crystal. Source: Alexandria, functional GGA-PBE.

POSCAR file:
```
NaRe
1.0
-1.0229 -4.6863 -7.1853
8.4550 0.6725 -1.6423
1.4501 -7.2266 4.5068
Na Re
6 6
Direct
0.2500 0.0000 0.5000 Na
0.7500 0.0000 0.5000 Na
0.0000 0.5000 0.2500 Na
0.0000 0.5000 0.7500 Na
0.5000 0.2500 0.0000 Na
0.5000 0.7500 0.0000 Na
0.2500 0.5000 0.0000 Re
0.7500 0.5000 0.0000 Re
0.5000 0.0000 0.2500 Re
0.5000 0.0000 0.7500 Re
0.0000 0.2500 0.5000 Re
0.0000 0.7500 0.5000 Re
```

Its total energy is -3.43 eV per atom. As for the distance to the lowest polymorph of the same formula: 2.751 eV per atom. The formation energy comes out at 6.9 eV/f.u. For the density of states at the Fermi level, the calculation gives 1.52 states/eV per atom.



# 8
A relaxed AcB3C crystal. Source: Alexandria, functional GGA-PBE.

POSCAR file:
```
AcB3C
1.0
-4.0937 -4.3039 1.1043
2.8419 -3.3475 -2.5115
0.6583 0.6499 4.9733
Ac B C
2 6 2
Direct
0.2500 0.3333 0.6667 Ac
0.7500 0.6667 0.3333 Ac
0.2500 0.8864 0.7728 B
0.2500 0.2272 0.1136 B
0.7500 0.7728 0.8864 B
0.7500 0.1136 0.2272 B
0.2500 0.8864 0.1136 B
0.7500 0.1136 0.8864 B
0.7500 0.3333 0.6667 C
0.2500 0.6667 0.3333 C
```

Its total energy is -5.96 eV per atom. As for the distance to the lowest polymorph of the same formula: 0.673 eV per atom. The formation energy comes out at 3.6 eV/f.u. For the density of states at the Fermi level, the calculation gives 0.19 states/eV per atom.



# 9
A relaxed GaNi2Pd6 crystal. Source: Alexandria, functional GGA-PBE.

POSCAR file:
```
GaNi2Pd6
1.0
7.1693 0.0000 0.0000
0.0000 4.7946 -0.4708
0.0000 0.8549 7.6336
Ga Ni Pd
2 4 12
Direct
0.5000 0.5000 0.0000 Ga
0.0000 0.0000 0.5000 Ga
0.5675 0.0404 0.1422 Ni
0.0675 0.4596 0.3578 Ni
0.9325 0.5404 0.6422 Ni
0.4325 0.9596 0.8578 Ni
0.1151 0.1524 0.7867 Pd
0.3472 0.1546 0.4724 Pd
0.2213 0.1469 0.1333 Pd
0.7213 0.3531 0.3667 Pd
0.8472 0.3454 0.0276 Pd
0.6151 0.3476 0.7133 Pd
0.8849 0.8476 0.2133 Pd
0.6528 0.8454 0.5276 Pd
0.7787 0.8531 0.8667 Pd
0.2787 0.6469 0.6333 Pd
0.1528 0.6546 0.9724 Pd
0.3849 0.6524 0.2867 Pd
```

Its total energy is -5.18 eV per atom. The formation energy comes out at -0.8 eV/f.u. For the density of states at the Fermi level, the calculation gives 1.21 states/eV per atom.



# 10
A relaxed SmEr3TmSc crystal. Source: Alexandria, functional GGA-PBE.

POSCAR file:
```
SmEr3TmSc
1.0
4.9200 0.0000 0.0000
-2.4600 7.3809 0.0000
0.0000 0.0000 9.8728
Sm Er Tm Sc
2 6 2 2
Direct
0.4977 0.9953 0.7500 Sm
0.5023 0.0047 0.2500 Sm
0.6676 0.3351 0.4998 Er
0.3324 0.6649 0.5002 Er
0.3324 0.6649 0.9998 Er
0.6676 0.3351 0.0002 Er
0.1693 0.3385 0.7500 Er
0.8307 0.6615 0.2500 Er
0.0000 0.0000 0.5000 Tm
0.0000 0.0000 0.0000 Tm
0.8320 0.6640 0.7500 Sc
0.1680 0.3360 0.2500 Sc
```

Its total energy is -4.83 eV per atom. The formation energy comes out at 0.2 eV/f.u. For the density of states at the Fermi level, the calculation gives 1.44 states/eV per atom.